This record from Alexandria via LeMat-Bulk describes a crystal of LaTl2Fe relaxed with PBEsol. The functional is meta-GGA SCAN.

Magnetization = 2.4 μB/f.u.
Raw total energy = -51.3788 eV per atom
Calculated formation energy = 11 kJ/mol of atoms

a b c (Å): 3.433 3.433 8.005
angles (deg): 90.00 90.00 90.00
Element x y z (fractional)
La 0.000 0.000 0.000
Tl 0.000 0.000 0.595
Tl 0.500 0.500 0.318
Fe 0.500 0.500 0.771